The following is a PBE-GGA calculation of crystalline KSrNi2 at its relaxed geometry, from the Alexandria database.

E_tot	-2.83	eV per atom
DFT formation energy	0.76	eV per atom

```
data_KSrNi2
_chemical_formula_sum 'K4 Sr4 Ni8'
_cell_length_a 8.1362
_cell_length_b 8.1362
_cell_length_c 5.8873
_cell_angle_alpha 90.00
_cell_angle_beta 90.00
_cell_angle_gamma 90.00
_space_group_name_H-M_alt 'I -4 2 d'
_space_group_IT_number 122
_space_group_name_Hall 'I -4 2bw'
loop_
_atom_site_label
_atom_site_type_symbol
_atom_site_fract_x
_atom_site_fract_y
_atom_site_fract_z
K1 K 0.0000 0.0000 0.0000
Sr1 Sr 0.0000 0.0000 0.5000
Ni1 Ni 0.2443 0.2500 0.6250
```